*a*
The following is a DFT calculation (GGA-PBE) of an optimized crystal structure of BeFe3Se.

abc: 3.8898 3.8898 3.8898
angles: 90.00 90.00 90.00
With the nearest neighbours (Å) after each atom.
Sites, in units of the cell vectors:
Fe (0.0000, 0.5000, 0.0000)  2 Be 1.94
Fe (0.5000, 0.0000, 0.0000)  2 Be 1.94
Fe (0.0000, 0.0000, 0.5000)  2 Be 1.94
Se (0.5000, 0.5000, 0.5000)  12 Fe 2.75
Be (0.0000, 0.0000, 0.0000)  6 Fe 1.94

Output
D(E_F)   7.8 states/eV/f.u.
Crystal system   cubic
Space-group type   Pm-3m (221)

***

*b*
The following is a DFT calculation (GGA-PBE) of an optimized crystal structure of BeFe3Se.

abc: 4.3098 4.3098 4.3098
angles: 90.00 90.00 90.00
With the nearest neighbours (Å) after each atom.
Sites, in units of the cell vectors:
Fe (0.0000, 0.5000, 0.0000)  2 Se 2.15
Fe (0.5000, 0.0000, 0.0000)  2 Se 2.15
Fe (0.0000, 0.0000, 0.5000)  2 Se 2.15
Se (0.0000, 0.0000, 0.0000)  6 Fe 2.15
Be (0.5000, 0.5000, 0.5000)  12 Fe 3.05

Output
D(E_F)   2.1 states/eV/f.u.
Crystal system   cubic
Space-group type   Pm-3m (221)

***

Order from most stable to least stable according to the calculation: *a*, *b*